# 1
Density functional theory data (PBE) for a relaxed structure of ZrSi2Pb.

Properties
symmetry: P4/mmm (123)
energy relative to the elements, uncorrected: 0.087 eV per atom
DOS at the Fermi energy: 1.85 states/eV per cell

a = 3.0913 Å, b = 3.0913 Å, c = 8.7241 Å
α = 90.00°, β = 90.00°, γ = 90.00°
With the nearest neighbours (Å) after each atom.
Positions (direct):
Zr1 0.0000 0.0000 0.0000  8 Si 2.91, 4 Zr 3.09
Si1 0.5000 0.5000 0.2194  4 Zr 2.91, 4 Si 3.09
Si2 0.5000 0.5000 0.7806  4 Zr 2.91, 4 Si 3.09
Pb1 0.0000 0.0000 0.5000  4 Pb 3.09, 8 Si 3.28

---

# 2
Density functional theory data (PBE) for a relaxed structure of ZrSiPb2.

Properties
symmetry: Cmmm (65)
energy relative to the elements, uncorrected: 0.306 eV per atom
DOS at the Fermi energy: 4.98 states/eV per cell

a = 4.0226 Å, b = 5.2326 Å, c = 9.2058 Å
α = 90.00°, β = 90.00°, γ = 90.00°
With the nearest neighbours (Å) after each atom.
Positions (direct):
Zr1 0.0000 0.0000 0.0000  4 Pb 3.09, 4 Zr 3.30
Zr2 0.5000 0.5000 0.0000  4 Pb 3.09, 4 Zr 3.30
Si1 0.0000 0.0000 0.5000  4 Pb 3.02, 4 Si 3.30
Si2 0.5000 0.5000 0.5000  4 Pb 3.02, 4 Si 3.30
Pb1 0.0000 0.5000 0.2549  2 Si 3.02, 2 Zr 3.09, 4 Pb 3.30
Pb2 0.0000 0.5000 0.7451  2 Si 3.02, 2 Zr 3.09, 4 Pb 3.30
Pb3 0.5000 0.0000 0.2549  2 Si 3.02, 2 Zr 3.09, 4 Pb 3.30
Pb4 0.5000 0.0000 0.7451  2 Si 3.02, 2 Zr 3.09, 4 Pb 3.30

---

# 3
Density functional theory data (PBE) for a relaxed structure of ZrSiPb2.

Properties
symmetry: P4mm (99)
energy relative to the elements, uncorrected: 0.021 eV per atom
DOS at the Fermi energy: 2.15 states/eV per cell

a = 3.2872 Å, b = 3.2872 Å, c = 9.1372 Å
α = 90.00°, β = 90.00°, γ = 90.00°
With the nearest neighbours (Å) after each atom.
Positions (direct):
Zr1 0.0000 0.0000 0.0000  4 Si 2.83
Si1 0.5000 0.5000 0.8228  4 Zr 2.83, 4 Pb 3.13
Pb1 0.0000 0.0000 0.5930  4 Si 3.13, 4 Pb 3.29
Pb2 0.5000 0.5000 0.2619  4 Pb 3.29, 4 Zr 3.34